{
  "formula": "MgSi2GeO",
  "functional": "PBE",
  "state": "relaxed",
  "lattice": [[4.385, 0.000, 0.000], [0.000, 4.385, 0.000], [0.000, 0.000, 4.059]],
  "species": ["Mg", "Si", "Si", "Ge", "O"],
  "fractional_positions": [[0.000, 0.000, 0.000], [0.000, 0.500, 0.500], [0.500, 0.000, 0.500], [0.500, 0.500, 0.000], [0.000, 0.000, 0.500]],
  "formation_energy_uncorrected_ev_per_atom": -0.178,
  "dft_energy_ev_per_atom": -4.581,
  "space_group": "P4/mmm, No. 123"
}